# 1
The following is a DFT calculation (PBE) of crystalline CaVCd at its relaxed geometry.

Cell lengths 8.3297, 6.1944, 5.9814 Å; angles 90.00, 112.92, 90.00 degrees
With the nearest neighbours (Å) after each atom.
Space group C2/m (No. 12)
Symmetry-distinct sites (fractional):
Ca  0.2130  0.0000  0.1458 (multiplicity 4)  5 Cd 3.21-3.32, 1 Ca 3.29, 4 V 3.32-3.38
V  0.0000  0.1486  0.5000 (multiplicity 4)  1 V 1.84
Cd  0.1298  0.5000  0.2716 (multiplicity 4)  4 V 2.99, 1 Cd 3.12, 5 Ca 3.21-3.32

## Properties
Energy relative to the lowest polymorph listed for this composition, eV per formula unit: 0.070
Energy relative to the elements, eV/atom: 0.21

---

# 2
The following is a DFT calculation (PBE) of crystalline CaVCd3 at its relaxed geometry.

Cell lengths 5.2536, 5.2536, 5.2536 Å; angles 90.00, 90.00, 90.00 degrees
With the nearest neighbours (Å) after each atom.
Space group Pm-3m (No. 221)
Symmetry-distinct sites (fractional):
Ca  0.0000  0.0000  0.0000 (multiplicity 1)  12 Cd 3.71
V  0.5000  0.5000  0.5000 (multiplicity 1)  6 Cd 2.63
Cd  0.0000  0.5000  0.5000 (multiplicity 3)  2 V 2.63

## Properties
Energy relative to the lowest polymorph listed for this composition, eV per formula unit: 0.000
Energy relative to the elements, eV/atom: 0.36

---

# 3
The following is a DFT calculation (PBE) of crystalline CaVCd2W at its relaxed geometry.

Cell lengths 5.1302, 5.1302, 5.1351 Å; angles 90.00, 90.00, 90.00 degrees
With the nearest neighbours (Å) after each atom.
Space group P4/mmm (No. 123)
Symmetry-distinct sites (fractional):
Ca  0.0000  0.0000  0.0000 (multiplicity 1)  2 V 2.57
V  0.0000  0.0000  0.5000 (multiplicity 1)  4 Cd 2.57, 2 Ca 2.57
Cd  0.0000  0.5000  0.5000 (multiplicity 2)  2 V 2.57
W  0.5000  0.5000  0.0000 (multiplicity 1)  4 Ca 3.63, 8 Cd 3.63

## Properties
Energy relative to the elements, eV/atom: 1.77

---

# 4
The following is a DFT calculation (PBE) of crystalline Ca2VCdW at its relaxed geometry.

Cell lengths 5.6102, 5.6102, 4.9437 Å; angles 90.00, 90.00, 90.00 degrees
With the nearest neighbours (Å) after each atom.
Space group P4/mmm (No. 123)
Symmetry-distinct sites (fractional):
Ca  0.0000  0.5000  0.0000 (multiplicity 2)  2 Cd 2.81
V  0.0000  0.0000  0.5000 (multiplicity 1)  2 Cd 2.47
Cd  0.0000  0.0000  0.0000 (multiplicity 1)  2 V 2.47
W  0.5000  0.5000  0.5000 (multiplicity 1)  8 Ca 3.74, 4 V 3.97

## Properties
Energy relative to the elements, eV/atom: 1.77

---

# 5
The following is a DFT calculation (PBE) of crystalline CaCdW3 at its relaxed geometry.

Cell lengths 4.6871, 4.6871, 4.6871 Å; angles 90.00, 90.00, 90.00 degrees
With the nearest neighbours (Å) after each atom.
Space group Pm-3m (No. 221)
Symmetry-distinct sites (fractional):
Ca  0.0000  0.0000  0.0000 (multiplicity 1)  6 W 2.34
Cd  0.5000  0.5000  0.5000 (multiplicity 1)  12 W 3.31
W  0.0000  0.0000  0.5000 (multiplicity 3)  2 Ca 2.34

## Properties
Energy relative to the lowest polymorph listed for this composition, eV per formula unit: 2.060
Energy relative to the elements, eV/atom: 3.05

---

# 6
The following is a DFT calculation (PBE) of crystalline Ca3CdW at its relaxed geometry.

Cell lengths 5.5608, 5.5608, 5.5608 Å; angles 90.00, 90.00, 90.00 degrees
With the nearest neighbours (Å) after each atom.
Space group Pm-3m (No. 221)
Symmetry-distinct sites (fractional):
Ca  0.0000  0.0000  0.5000 (multiplicity 3)  2 W 2.78
Cd  0.5000  0.5000  0.5000 (multiplicity 1)  12 Ca 3.93
W  0.0000  0.0000  0.0000 (multiplicity 1)  6 Ca 2.78

## Properties
Energy relative to the lowest polymorph listed for this composition, eV per formula unit: 0.000
Energy relative to the elements, eV/atom: 0.91